[1]
{"formula": "TlF4", "functional": "PBE", "state": "optimized geometry", "lattice": [[-3.1452, 1.4071, -2.6679], [-0.0452, -3.8760, -1.9910], [-3.0159, -1.4094, 2.8121]], "species": ["Tl", "F", "F", "F", "F"], "fractional_positions": [[0.5000, 0.5000, 0.5000], [0.5000, 0.5000, 0.0000], [0.0000, 0.0000, 0.0000], [0.0000, 0.5000, 0.5000], [0.5000, 0.0000, 0.5000]], "relative_energy_mev_per_atom": 59, "dos_at_fermi_per_ev_fu": 10.04, "vol_a3_per_cell": 83, "density_g_cm3": 5.626, "final_energy_ev_per_cell": -15.84}


[2]
{"formula": "Sc4Tl2GaAg", "functional": "PBE", "state": "optimized geometry", "lattice": [[4.9653, 0.0000, 0.0000], [2.4827, 4.3001, 0.0000], [2.4827, 1.4334, 8.0856]], "species": ["Sc", "Sc", "Ag", "Tl", "Sc", "Ga", "Sc", "Tl"], "fractional_positions": [[0.3725, 0.3725, 0.8825], [0.1212, 0.1212, 0.6364], [0.5000, 0.5000, 0.5000], [0.2445, 0.2445, 0.2666], [0.8788, 0.8788, 0.3636], [0.0000, 0.0000, 0.0000], [0.6275, 0.6275, 0.1175], [0.7555, 0.7555, 0.7334]], "formation_enthalpy_0k_mev_per_atom": -338, "dos_at_fermi_per_ev_fu": 8.89, "vol_a3_per_cell": 173, "density_g_cm3": 7.370, "final_energy_ev_per_cell": -38.64}